(1)
# K2InAu, PBEsol geometry, DFT meta-GGA SCAN
# - energy of formation (eV per atom) = -0.2169
# - crystal system = tetragonal
data_K2InAu
_chemical_formula_sum 'K2 In1 Au1'
_symmetry_space_group_name_H-M 'P 4 m m'
_symmetry_Int_Tables_number 99
_cell_length_a 3.7966
_cell_length_b 3.7966
_cell_length_c 9.7639
_cell_angle_alpha 90.00
_cell_angle_beta 90.00
_cell_angle_gamma 90.00
loop_
_symmetry_equiv_pos_as_xyz
'x,y,z'
'-y,x,z'
'-x,-y,z'
'y,-x,z'
'-x,y,z'
'y,x,z'
'x,-y,z'
'-y,-x,z'
loop_
_atom_site_label
_atom_site_type_symbol
_atom_site_fract_x
_atom_site_fract_y
_atom_site_fract_z
K1 K 0.0000 0.0000 0.0000
K2 K 0.5000 0.5000 0.4101
In1 In 0.5000 0.5000 0.7508
Au1 Au 0.0000 0.0000 0.6506



(2)
# Nd2InPd2, PBEsol geometry, DFT meta-GGA SCAN
# - energy of formation (eV per atom) = -0.9159
# - crystal system = tetragonal
data_Nd2InPd2
_chemical_formula_sum 'Nd4 In2 Pd4'
_symmetry_space_group_name_H-M 'P 4/m b m'
_symmetry_Int_Tables_number 127
_symmetry_space_group_name_Hall '-P 4 2ab'
_cell_length_a 7.7088
_cell_length_b 7.7088
_cell_length_c 3.8373
_cell_angle_alpha 90.00
_cell_angle_beta 90.00
_cell_angle_gamma 90.00
loop_
_atom_site_label
_atom_site_type_symbol
_atom_site_fract_x
_atom_site_fract_y
_atom_site_fract_z
Nd1 Nd 0.1749 0.3251 0.0000
In1 In 0.0000 0.0000 0.5000
Pd1 Pd 0.1270 0.6270 0.5000



(3)
# Hg2SbPb2, PBEsol geometry, DFT meta-GGA SCAN
# - E_form (uncorrected) (eV/atom) = 0.0653
# - crystal system = tetragonal
data_Hg2SbPb2
_chemical_formula_sum 'Hg4 Sb2 Pb4'
_symmetry_space_group_name_H-M 'I 4/m m m'
_symmetry_Int_Tables_number 139
_symmetry_space_group_name_Hall '-I 4 2'
_cell_length_a 4.0798
_cell_length_b 4.0798
_cell_length_c 16.9641
_cell_angle_alpha 90.00
_cell_angle_beta 90.00
_cell_angle_gamma 90.00
loop_
_atom_site_label
_atom_site_type_symbol
_atom_site_fract_x
_atom_site_fract_y
_atom_site_fract_z
Hg1 Hg 0.0000 0.5000 0.2500
Sb1 Sb 0.0000 0.0000 0.0000
Pb1 Pb 0.0000 0.0000 0.4045



(4)
# TaMo, PBEsol geometry, DFT meta-GGA SCAN
# - energy of formation (eV per atom) = 0.2827
# - crystal system = hexagonal
data_TaMo
_chemical_formula_sum 'Ta2 Mo2'
_symmetry_space_group_name_H-M 'P 63/m m c'
_symmetry_Int_Tables_number 194
_symmetry_space_group_name_Hall '-P 6c 2c'
_cell_length_a 3.0583
_cell_length_b 3.0583
_cell_length_c 8.3204
_cell_angle_alpha 90.00
_cell_angle_beta 90.00
_cell_angle_gamma 120.00
loop_
_atom_site_label
_atom_site_type_symbol
_atom_site_fract_x
_atom_site_fract_y
_atom_site_fract_z
Ta1 Ta 0.0000 0.0000 0.0000
Mo1 Mo 0.3333 0.6667 0.2500



no.,DOS(E_F) (states/eV per cell),DFT total energy (eV/atom)
1,2.00,-30.0171
2,5.34,-38.1358
3,3.92,-64.9657
4,2.85,-50.4516